Below is a geometry-optimized AgMoW2 structure, with properties calculated at the GGA-PBE level.

Output
- Energy of formation from the pure elements: 60.68 kJ per mole of atoms
- Density: 14.5 g/cm3
- Space-group type: F-43m, No. 216

a b c (Å): 4.5246 4.5246 4.5246
angles (deg): 60.00 60.00 60.00
Closest atoms and distances in Å follow each position.
Fractional coordinates of all 4 atoms:
W (0.2500, 0.2500, 0.2500)  4 Mo 2.77, 4 W 2.77
Mo (0.5000, 0.5000, 0.5000)  4 W 2.77, 4 Ag 2.77
Ag (0.7500, 0.7500, 0.7500)  4 Mo 2.77, 4 W 2.77
W (0.0000, 0.0000, 0.0000)  4 Ag 2.77, 4 W 2.77